The following is a GGA-PBE calculation of an optimized crystal structure of Cs3CdHg2, from Alexandria.

Computed properties:
Offset from the most stable computed form, eV/f.u.: 0.00
Total magnetization, μB per atom: 0.00
ΔE_f, meV per atom: -163
E_tot, eV per formula unit: -5.06

abc: 14.2717 7.6355 12.5280
angles: 71.63 90.00 90.00
Fractional positions:
Cs 0.7755 0.3325 0.8234
Cs 0.5543 0.7864 0.9024
Cs 0.3944 0.2731 0.4834
Cs 0.0543 0.2136 0.5976
Cs 0.1056 0.2731 0.9834
Cs 0.9457 0.7864 0.4024
Cs 0.7245 0.3325 0.3234
Cs 0.6056 0.7269 0.5166
Cs 0.4457 0.2136 0.0976
Cs 0.2755 0.6675 0.6766
Cs 0.2245 0.6675 0.1766
Cs 0.8944 0.7269 0.0166
Cd 0.8087 0.9090 0.6793
Cd 0.6913 0.9090 0.1793
Cd 0.3087 0.0910 0.8207
Cd 0.1913 0.0910 0.3207
Hg 0.4924 0.3167 0.7702
Hg 0.0076 0.3167 0.2702
Hg 0.1348 0.8469 0.8706
Hg 0.6348 0.1531 0.6294
Hg 0.8652 0.1531 0.1294
Hg 0.9924 0.6833 0.7298
Hg 0.3652 0.8469 0.3706
Hg 0.5076 0.6833 0.2298